(1)
{
  "formula": "HoTiHgPb",
  "functional": "PBE",
  "state": "optimized geometry",
  "cell": [[7.229, 0.000, 0.000], [0.000, 7.229, 0.000], [0.000, 0.000, 7.229]],
  "species": ["Ho", "Ho", "Ho", "Ho", "Ti", "Ti", "Ti", "Ti", "Hg", "Hg", "Hg", "Hg", "Pb", "Pb", "Pb", "Pb"],
  "frac_coords": [[0.000, 0.000, 0.000], [0.000, 0.500, 0.500], [0.500, 0.000, 0.500], [0.500, 0.500, 0.000], [0.000, 0.000, 0.500], [0.000, 0.500, 0.000], [0.500, 0.000, 0.000], [0.500, 0.500, 0.500], [0.250, 0.250, 0.750], [0.250, 0.750, 0.250], [0.750, 0.250, 0.250], [0.750, 0.750, 0.750], [0.250, 0.250, 0.250], [0.250, 0.750, 0.750], [0.750, 0.250, 0.750], [0.750, 0.750, 0.250]],
  "crystal_system": "cubic",
  "ef_ev_per_atom": -0.13,
  "spacegroup": "F-43m, No. 216"
}


(2)
{
  "formula": "Ba2SbRu",
  "functional": "PBE",
  "state": "optimized geometry",
  "cell": [[5.204, 0.000, 0.000], [0.000, 5.204, 0.000], [0.000, 0.000, 9.374]],
  "species": ["Ba", "Ba", "Ba", "Ba", "Sb", "Sb", "Ru", "Ru"],
  "frac_coords": [[0.000, 0.500, 0.250], [0.000, 0.500, 0.750], [0.500, 0.000, 0.250], [0.500, 0.000, 0.750], [0.000, 0.000, 0.000], [0.500, 0.500, 0.500], [0.000, 0.000, 0.500], [0.500, 0.500, 0.000]],
  "e_tot_ev_per_cell": -33.480,
  "crystal_system": "tetragonal",
  "spacegroup": "I4/mmm, No. 139"
}


(3)
{
  "formula": "Sr5Pt",
  "functional": "PBE",
  "state": "optimized geometry",
  "cell": [[0.000, 5.155, 5.155], [5.155, 0.000, 5.155], [5.155, 5.155, 0.000]],
  "species": ["Sr", "Sr", "Sr", "Sr", "Sr", "Pt"],
  "frac_coords": [[0.000, 0.000, 0.000], [0.376, 0.376, 0.376], [0.376, 0.376, 0.873], [0.376, 0.873, 0.376], [0.873, 0.376, 0.376], [0.750, 0.750, 0.750]],
  "de_polymorph_mev_per_atom": 753,
  "crystal_system": "cubic",
  "ef_ev_per_atom": 0.49,
  "spacegroup": "F-43m, No. 216"
}


Please write out number 2 again, unchanged.
{
  "formula": "Ba2SbRu",
  "functional": "PBE",
  "state": "optimized geometry",
  "cell": [[5.204, 0.000, 0.000], [0.000, 5.204, 0.000], [0.000, 0.000, 9.374]],
  "species": ["Ba", "Ba", "Ba", "Ba", "Sb", "Sb", "Ru", "Ru"],
  "frac_coords": [[0.000, 0.500, 0.250], [0.000, 0.500, 0.750], [0.500, 0.000, 0.250], [0.500, 0.000, 0.750], [0.000, 0.000, 0.000], [0.500, 0.500, 0.500], [0.000, 0.000, 0.500], [0.500, 0.500, 0.000]],
  "e_tot_ev_per_cell": -33.480,
  "crystal_system": "tetragonal",
  "spacegroup": "I4/mmm, No. 139"
}